A plane-wave DFT calculation with PBE was carried out for an optimized crystal structure of AcLa2TlIr.

Calculated values
magnetic moment: 0.0 μB/cell
VASP energy: -0.20012 hartree per atom
mass density: 8.2 g cm⁻³
formation energy: -0.41 eV/atom
D(E_F): 1.29 states/eV/atom

Cell: 5.5812 5.5812 5.8823 Å, 90.00 90.00 90.00°
Space group P4/mmm (No. 123)
Symmetry-distinct sites (fractional):
Ac (0.0000, 0.0000, 0.0000) (multiplicity 1)
La (0.0000, 0.5000, 0.5000) (multiplicity 2)
Tl (0.5000, 0.5000, 0.0000) (multiplicity 1)
Ir (0.0000, 0.0000, 0.5000) (multiplicity 1)